[1]
Density functional theory data (PBE) for an optimized crystal structure of Mg3CoBr.

## Properties
As for the crystal system: cubic. As for the space group: Pm-3m, No. 221. The relative energy among the computed polymorphs comes out at 0.000 eV/atom.

abc: 4.941 4.941 4.941
angles: 90.00 90.00 90.00
Fractional positions:
Mg 0.000 0.500 0.000
Mg 0.000 0.000 0.500
Mg 0.500 0.000 0.000
Co 0.000 0.000 0.000
Br 0.500 0.500 0.500


[2]
Density functional theory data (PBE) for an optimized crystal structure of MgCo2Br.

## Properties
As for the crystal system: trigonal. As for the space group: R-3m, No. 166. The relative energy among the computed polymorphs comes out at 0.496 eV/atom.

abc: 8.184 8.184 8.184
angles: 21.56 21.56 21.56
Fractional positions:
Br 0.750 0.750 0.750
Co 0.005 0.005 0.005
Co 0.495 0.495 0.495
Mg 0.250 0.250 0.250


[3]
Density functional theory data (PBE) for an optimized crystal structure of MgCo2Br.

## Properties
As for the crystal system: tetragonal. As for the space group: I-42d, No. 122. The relative energy among the computed polymorphs comes out at 0.621 eV/atom.

abc: 7.179 7.179 5.734
angles: 51.24 51.24 90.00
Fractional positions:
Mg 0.500 0.500 0.000
Mg 0.250 0.750 0.500
Co 0.675 0.125 0.250
Co 0.075 0.625 0.250
Co 0.375 0.325 0.750
Co 0.875 0.925 0.750
Br 0.000 0.000 0.000
Br 0.750 0.250 0.500


[4]
Density functional theory data (PBE) for an optimized crystal structure of MgCoBr2.

## Properties
As for the crystal system: orthorhombic. As for the space group: Cmm2, No. 35. The relative energy among the computed polymorphs comes out at 0.188 eV/atom.

abc: 3.418 3.418 9.005
angles: 90.00 90.00 106.23
Fractional positions:
Br 0.000 0.000 0.907
Br 0.500 0.500 0.364
Co 0.000 0.000 0.505
Mg 0.500 0.500 0.725


[5]
Density functional theory data (PBE) for an optimized crystal structure of MgCo2Br.

## Properties
As for the crystal system: tetragonal. As for the space group: P4/mmm, No. 123. The relative energy among the computed polymorphs comes out at 0.351 eV/atom.

abc: 3.400 3.405 5.840
angles: 90.00 90.00 90.00
Fractional positions:
Br 0.500 0.500 0.750
Co 0.000 0.000 0.059
Co 0.000 0.000 0.441
Mg 0.500 0.500 0.250


[6]
Density functional theory data (PBE) for an optimized crystal structure of MgCoBr2.

## Properties
As for the crystal system: tetragonal. As for the space group: P4/mmm, No. 123. The relative energy among the computed polymorphs comes out at 0.516 eV/atom.

abc: 4.798 4.798 3.402
angles: 90.00 90.00 90.00
Fractional positions:
Br 0.000 0.000 0.000
Br 0.500 0.500 0.000
Co 0.500 0.000 0.500
Mg 0.000 0.500 0.500


[7]
Density functional theory data (PBE) for an optimized crystal structure of MgCo2Br6.

## Properties
As for the crystal system: monoclinic. As for the space group: C2/m, No. 12.

abc: 3.940 6.746 11.053
angles: 96.82 90.00 106.98
Fractional positions:
Mg 0.000 0.000 0.500
Co 0.292 0.583 0.757
Co 0.708 0.417 0.243
Br 0.107 0.213 0.722
Br 0.151 0.303 0.127
Br 0.849 0.697 0.873
Br 0.373 0.746 0.567
Br 0.627 0.254 0.433
Br 0.893 0.787 0.278


[8]
Density functional theory data (PBE) for an optimized crystal structure of Mg4CoBr.

## Properties
As for the crystal system: cubic. As for the space group: F-43m, No. 216.

abc: 5.756 5.756 5.756
angles: 60.00 60.00 60.00
Fractional positions:
Mg 0.879 0.374 0.374
Mg 0.374 0.374 0.879
Mg 0.374 0.879 0.374
Mg 0.374 0.374 0.374
Co 0.000 0.000 0.000
Br 0.750 0.750 0.750


[9]
Density functional theory data (PBE) for an optimized crystal structure of MgCoBr3.

## Properties
As for the crystal system: cubic. As for the space group: Pm-3m, No. 221. The relative energy among the computed polymorphs comes out at 0.000 eV/atom.

abc: 4.996 4.996 4.996
angles: 90.00 90.00 90.00
Fractional positions:
Mg 0.500 0.500 0.500
Co 0.000 0.000 0.000
Br 0.000 0.500 0.000
Br 0.000 0.000 0.500
Br 0.500 0.000 0.000


[10]
Density functional theory data (PBE) for an optimized crystal structure of MgCo2Br.

## Properties
As for the crystal system: tetragonal. As for the space group: P4mm, No. 99. The relative energy among the computed polymorphs comes out at 0.093 eV/atom.

abc: 3.193 3.193 7.418
angles: 90.00 90.00 90.00
Fractional positions:
Br 0.500 0.500 0.685
Co 0.000 0.000 0.120
Co 0.500 0.500 0.224
Mg 0.000 0.000 0.471


[11]
Density functional theory data (PBE) for an optimized crystal structure of MgCoBr2.

## Properties
As for the crystal system: monoclinic. As for the space group: C2/m, No. 12. The relative energy among the computed polymorphs comes out at 0.368 eV/atom.

abc: 5.099 5.099 5.119
angles: 61.93 61.93 93.71
Fractional positions:
Br 0.000 0.000 0.000
Br 0.500 0.500 0.000
Co 0.500 0.000 0.500
Mg 0.000 0.500 0.500


[12]
Density functional theory data (PBE) for an optimized crystal structure of MgCo2Br.

## Properties
As for the crystal system: orthorhombic. As for the space group: Amm2, No. 38. The relative energy among the computed polymorphs comes out at 0.059 eV/atom.

abc: 3.142 3.181 6.920
angles: 76.76 90.00 90.00
Fractional positions:
Br 0.500 0.944 0.738
Co 0.000 0.774 0.077
Co 0.500 0.205 0.216
Mg 0.000 0.578 0.469


Number 1: formation energy from raw total energies 0.1929 eV per atom, volume 120.64 Å³/f.u.. Number 2: formation energy from raw total energies 0.5568 eV per atom, volume 64.89 Å³/f.u.. Number 3: formation energy from raw total energies 0.6821 eV per atom, volume 68.69 Å³/f.u.. Number 4: formation energy from raw total energies -0.1747 eV per atom, volume 101.03 Å³/f.u.. Number 5: formation energy from raw total energies 0.4123 eV per atom, volume 67.62 Å³/f.u.. Number 6: formation energy from raw total energies 0.1540 eV per atom, volume 78.32 Å³/f.u.. Number 7: formation energy from raw total energies -0.6319 eV per atom, volume 278.82 Å³/f.u.. Number 8: formation energy from raw total energies 0.4136 eV per atom, volume 134.84 Å³/f.u.. Number 9: formation energy from raw total energies -0.2260 eV per atom, volume 124.73 Å³/f.u.. Number 10: formation energy from raw total energies 0.1537 eV per atom, volume 75.64 Å³/f.u.. Number 11: formation energy from raw total energies 0.0059 eV per atom, volume 96.39 Å³/f.u.. Number 12: formation energy from raw total energies 0.1203 eV per atom, volume 67.31 Å³/f.u..